Record 1
ErNi2O4 (GGA+U, optimized geometry); space-group type = I4_1/amd, No. 141
1.0
0.2813 5.7129 -1.1370
-2.7962 -2.8139 -4.2747
-2.9040 -0.7895 4.9936
Er O Ni
2 8 4
direct
0.2500 0.7500 0.5000
0.0000 0.0000 0.0000
0.9181 0.2331 0.3151
0.8530 0.6679 0.1848
0.3970 0.0823 0.3153
0.3318 0.5170 0.1848
0.3322 0.1470 0.8152
0.4831 0.6682 0.8152
0.9180 0.6030 0.6849
0.7669 0.0817 0.6847
0.1250 0.3750 0.7500
0.6250 0.3750 0.2500
0.6250 0.8750 0.2500
0.6250 0.3750 0.7500

---

Record 2
ErNiO3 (GGA+U, optimized geometry); space-group type = Pnma, No. 62
1.0
-0.8564 -4.8733 -2.6707
5.0592 -1.0384 0.2723
4.0190 -4.4171 6.7711
O Er Ni
12 4 4
direct
0.1887 0.3592 0.4459
0.1887 0.7510 0.0541
0.9658 0.8608 0.7501
0.0342 0.1392 0.2499
0.6887 0.2490 0.4459
0.4658 0.1392 0.7499
0.3113 0.7510 0.5541
0.6887 0.6408 0.0541
0.5342 0.8608 0.2501
0.8113 0.6408 0.5541
0.8113 0.2490 0.9459
0.3113 0.3592 0.9459
0.4181 0.2728 0.2501
0.9181 0.7272 0.2499
0.5819 0.7272 0.7499
0.0819 0.2728 0.7501
0.5000 0.0000 0.0000
0.0000 0.0000 0.5000
0.0000 0.5000 0.0000
0.5000 0.5000 0.5000

---

Record 3
Er2NiO (GGA+U, optimized geometry); space-group type = R-3m, No. 166
1.0
3.3049 0.0000 0.0000
1.6524 2.8621 0.0000
1.6524 0.9540 7.6836
Er Ni O
2 1 1
direct
0.1058 0.1058 0.6825
0.8942 0.8942 0.3175
0.0000 0.0000 0.0000
0.5000 0.5000 0.5000

---

Record 4
ErPaNiO6 (GGA+U, optimized geometry); space-group type = P312, No. 149
1.0
4.8012 0.0000 0.0000
0.0000 5.3408 0.0000
0.0000 -2.6704 4.6252
Ni Pa O Er
1 1 6 1
direct
0.5000 0.6667 0.3333
0.0000 0.3333 0.6667
0.7371 0.3649 0.0145
0.2629 0.6496 0.0145
0.7371 0.6496 0.6351
0.2629 0.9855 0.6351
0.7371 0.9855 0.3504
0.2629 0.3649 0.3504
0.5000 0.0000 0.0000

---

Record 5
ErNiPdO4 (GGA+U, optimized geometry); space-group type = Imma, No. 74
1.0
-5.9256 0.9605 -3.5196
1.3543 -5.0189 3.2292
-0.6804 5.9786 2.7771
O Er Ni Pd
8 2 2 2
direct
0.2016 0.4033 0.6555
0.7984 0.5967 0.3445
0.6977 0.9662 0.2331
0.2016 0.4033 0.2478
0.2685 0.9662 0.2331
0.7315 0.0338 0.7669
0.3023 0.0338 0.7669
0.7984 0.5967 0.7522
0.5000 0.0000 0.5000
0.5000 0.0000 0.0000
0.9492 0.8984 0.1992
0.0508 0.1016 0.8008
0.0000 0.5000 0.5000
0.5000 0.5000 0.5000

---

Record 6
Er2NiRuO6 (GGA+U, optimized geometry); space-group type = P2_1/c, No. 14
1.0
5.7089 0.0000 0.0000
0.0000 5.2563 0.0203
0.0000 5.2218 7.6465
Er O Ni Ru
4 12 2 2
direct
0.9213 0.2783 0.2483
0.4213 0.7217 0.2517
0.0787 0.7217 0.7517
0.5787 0.2783 0.7483
0.6956 0.7549 0.0653
0.4512 0.8824 0.7460
0.9512 0.1176 0.7540
0.1889 0.6258 0.0609
0.6889 0.3742 0.4391
0.1956 0.2451 0.4347
0.3044 0.2451 0.9347
0.8111 0.3742 0.9391
0.8044 0.7549 0.5653
0.0488 0.8824 0.2460
0.3111 0.6258 0.5609
0.5488 0.1176 0.2540
0.5000 0.5000 0.0000
0.0000 0.5000 0.5000
0.0000 0.0000 0.0000
0.5000 0.0000 0.5000

---

Record 7
ErNi2TeO6 (GGA+U, optimized geometry); space-group type = R3, No. 146
1.0
5.3994 -0.0019 0.0009
2.7010 4.6739 0.0032
2.6995 1.5551 4.7707
O Ni Te Er
6 2 1 1
direct
0.6206 0.2308 0.2386
0.1404 0.3886 0.7612
0.7099 0.1403 0.7613
0.9100 0.6205 0.2387
0.2307 0.9100 0.2387
0.3886 0.7100 0.7612
0.5224 0.5224 0.4328
0.0152 0.0152 0.9543
0.3172 0.3172 0.0485
0.8067 0.8067 0.5798

---

Record 8
Er2UNiO8 (GGA+U, optimized geometry); space-group type = C2/m, No. 12
1.0
-0.7451 4.8362 0.9237
-4.7308 -0.7988 -1.3353
-2.0295 -2.1252 6.1381
O Ni Er U
8 1 2 1
direct
0.2767 0.2763 0.5001
0.1655 0.8341 0.7347
0.8345 0.1659 0.2653
0.6981 0.6989 0.9999
0.7946 0.2061 0.7825
0.7233 0.7237 0.4999
0.3019 0.3011 0.0001
0.2054 0.7939 0.2175
0.0000 0.0000 0.5000
0.4731 0.5268 0.7374
0.5269 0.4732 0.2626
0.0000 0.0000 0.0000

---

| no. | DFT total energy (eV per atom) | volume (Å³ per cell) |
| --- | --- | --- |
| 1 | -6.016 | 152.6 |
| 2 | -6.600 | 215.1 |
| 3 | -4.813 | 72.7 |
| 4 | -7.528 | 118.6 |
| 5 | -6.170 | 174.8 |
| 6 | -7.361 | 228.8 |
| 7 | -5.902 | 120.4 |
| 8 | -7.788 | 167.1 |